Compound: Ni2AgRh
Source: the Alexandria database
Functional: PBE-GGA
Structure: relaxed

```
data_Ni2AgRh
_cell_length_a 2.706
_cell_length_b 2.706
_cell_length_c 7.407
_cell_angle_alpha 90.00
_cell_angle_beta 90.00
_cell_angle_gamma 90.00
_space_group_name_H-M_alt 'P 1'
_space_group_IT_number 1
loop_
_space_group_symop_operation_xyz
'x,y,z'
loop_
_atom_site_label
_atom_site_type_symbol
_atom_site_fract_x
_atom_site_fract_y
_atom_site_fract_z
Ni1 Ni 0.500 0.500 0.238
Ag1 Ag 0.500 0.500 0.764
Ni2 Ni 0.000 0.000 0.029
Rh1 Rh 0.000 0.000 0.469
```

The value obtained for the total magnetization is 1.87 Bohr magnetons per cell. Its space group is P4mm (99). The calculation puts the energy relative to the elements at 0.179 eV/atom.

***

Compound: LaMnMo2
Source: the Alexandria database
Functional: PBE-GGA
Structure: relaxed

```
data_LaMnMo2
_cell_length_a 4.567
_cell_length_b 4.567
_cell_length_c 4.567
_cell_angle_alpha 60.00
_cell_angle_beta 60.00
_cell_angle_gamma 60.00
_space_group_name_H-M_alt 'P 1'
_space_group_IT_number 1
loop_
_space_group_symop_operation_xyz
'x,y,z'
loop_
_atom_site_label
_atom_site_type_symbol
_atom_site_fract_x
_atom_site_fract_y
_atom_site_fract_z
Mo1 Mo 0.750 0.750 0.750
La1 La 0.500 0.500 0.500
Mn1 Mn 0.000 0.000 0.000
Mo2 Mo 0.250 0.250 0.250
```

The value obtained for the total magnetization is 0.00 Bohr magnetons per cell. Its space group is Fm-3m (225). The calculation puts the energy relative to the elements at 0.626 eV/atom.

***

Compound: TcSn2GeCl
Source: the Alexandria database
Functional: PBE-GGA
Structure: relaxed

```
data_TcSn2GeCl
_cell_length_a 5.179
_cell_length_b 5.179
_cell_length_c 4.779
_cell_angle_alpha 90.00
_cell_angle_beta 90.00
_cell_angle_gamma 90.00
_space_group_name_H-M_alt 'P 1'
_space_group_IT_number 1
loop_
_space_group_symop_operation_xyz
'x,y,z'
loop_
_atom_site_label
_atom_site_type_symbol
_atom_site_fract_x
_atom_site_fract_y
_atom_site_fract_z
Cl1 Cl 0.500 0.500 0.500
Ge1 Ge 0.000 0.000 0.500
Tc1 Tc 0.000 0.000 0.000
Sn1 Sn 0.000 0.500 0.000
Sn2 Sn 0.500 0.000 0.000
```

The value obtained for the total magnetization is 0.00 Bohr magnetons per cell. Its space group is P4/mmm (123). The formation energy from raw total energies is -24.4 kJ per mole of atoms.

***

Compound: BeTe3O
Source: the Alexandria database
Functional: PBE-GGA
Structure: relaxed

```
data_BeTe3O
_cell_length_a 4.779
_cell_length_b 4.779
_cell_length_c 4.779
_cell_angle_alpha 90.00
_cell_angle_beta 90.00
_cell_angle_gamma 90.00
_space_group_name_H-M_alt 'P 1'
_space_group_IT_number 1
loop_
_space_group_symop_operation_xyz
'x,y,z'
loop_
_atom_site_label
_atom_site_type_symbol
_atom_site_fract_x
_atom_site_fract_y
_atom_site_fract_z
O1 O 0.000 0.000 0.000
Te1 Te 0.000 0.000 0.500
Be1 Be 0.500 0.500 0.500
Te2 Te 0.000 0.500 0.000
Te3 Te 0.500 0.000 0.000
```

The value obtained for the total magnetization is 0.00 Bohr magnetons per cell. Its space group is Pm-3m (221). The formation energy from raw total energies is 55.0 kJ per mole of atoms.

***

Compound: Sm2NbSnN5
Source: the Alexandria database
Functional: PBE-GGA
Structure: relaxed

```
data_Sm2NbSnN5
_cell_length_a 3.332
_cell_length_b 7.195
_cell_length_c 10.551
_cell_angle_alpha 90.00
_cell_angle_beta 90.00
_cell_angle_gamma 103.39
_space_group_name_H-M_alt 'P 1'
_space_group_IT_number 1
loop_
_space_group_symop_operation_xyz
'x,y,z'
loop_
_atom_site_label
_atom_site_type_symbol
_atom_site_fract_x
_atom_site_fract_y
_atom_site_fract_z
Sm1 Sm 0.114 0.227 0.703
N1 N 0.503 0.006 0.279
Nb1 Nb 0.773 0.546 0.506
N2 N 0.303 0.607 0.376
N3 N 0.938 0.877 0.565
Sn1 Sn 0.523 0.046 0.970
N4 N 0.697 0.393 0.876
N5 N 0.366 0.732 0.002
Sn2 Sn 0.477 0.954 0.470
N6 N 0.497 0.994 0.779
N7 N 0.634 0.268 0.502
N8 N 0.720 0.440 0.141
Sm2 Sm 0.865 0.730 0.781
Sm3 Sm 0.135 0.270 0.281
Sm4 Sm 0.886 0.773 0.203
Nb2 Nb 0.227 0.454 0.006
N9 N 0.280 0.560 0.641
N10 N 0.062 0.123 0.065
```

The value obtained for the total magnetization is 0.00 Bohr magnetons per cell. Its space group is Cmc2_1 (36). The formation energy from raw total energies is -80.1 kJ per mole of atoms.

***

Compound: GaTc3Ir
Source: the Alexandria database
Functional: PBE-GGA
Structure: relaxed

```
data_GaTc3Ir
_cell_length_a 4.431
_cell_length_b 4.431
_cell_length_c 4.431
_cell_angle_alpha 90.00
_cell_angle_beta 90.00
_cell_angle_gamma 90.00
_space_group_name_H-M_alt 'P 1'
_space_group_IT_number 1
loop_
_space_group_symop_operation_xyz
'x,y,z'
loop_
_atom_site_label
_atom_site_type_symbol
_atom_site_fract_x
_atom_site_fract_y
_atom_site_fract_z
Tc1 Tc 0.000 0.000 0.500
Ga1 Ga 0.000 0.000 0.000
Tc2 Tc 0.000 0.500 0.000
Ir1 Ir 0.500 0.500 0.500
Tc3 Tc 0.500 0.000 0.000
```

The value obtained for the total magnetization is 0.00 Bohr magnetons per cell. Its space group is Pm-3m (221). The calculation puts the energy relative to the elements at 1.615 eV/atom.

***

Compound: BiOsRhO6
Source: the Alexandria database
Functional: PBE-GGA
Structure: relaxed

```
data_BiOsRhO6
_cell_length_a 7.027
_cell_length_b 7.046
_cell_length_c 7.349
_cell_angle_alpha 118.65
_cell_angle_beta 118.56
_cell_angle_gamma 90.00
_space_group_name_H-M_alt 'P 1'
_space_group_IT_number 1
loop_
_space_group_symop_operation_xyz
'x,y,z'
loop_
_atom_site_label
_atom_site_type_symbol
_atom_site_fract_x
_atom_site_fract_y
_atom_site_fract_z
Bi1 Bi 0.991 0.741 0.983
O1 O 0.179 0.328 0.787
O2 O 0.435 0.685 0.869
Rh1 Rh 0.500 0.000 0.500
O3 O 0.565 0.315 0.131
O4 O 0.814 0.064 0.628
O5 O 0.821 0.672 0.213
O6 O 0.607 0.958 0.787
O7 O 0.393 0.042 0.213
Rh2 Rh 0.000 0.000 0.500
O8 O 0.821 0.042 0.213
Bi2 Bi 0.009 0.259 0.017
O9 O 0.186 0.936 0.372
O10 O 0.393 0.672 0.213
O11 O 0.179 0.958 0.787
Os1 Os 0.500 0.500 0.000
Os2 Os 0.500 0.000 0.000
O12 O 0.607 0.328 0.787
```

The value obtained for the total magnetization is 0.67 Bohr magnetons per cell. Its space group is Imma (74). The formation energy from raw total energies is -75.8 kJ per mole of atoms.

***

Compound: CuAs2W
Source: the Alexandria database
Functional: PBE-GGA
Structure: relaxed

```
data_CuAs2W
_cell_length_a 7.773
_cell_length_b 7.773
_cell_length_c 7.773
_cell_angle_alpha 23.36
_cell_angle_beta 23.36
_cell_angle_gamma 23.36
_space_group_name_H-M_alt 'P 1'
_space_group_IT_number 1
loop_
_space_group_symop_operation_xyz
'x,y,z'
loop_
_atom_site_label
_atom_site_type_symbol
_atom_site_fract_x
_atom_site_fract_y
_atom_site_fract_z
Cu1 Cu 0.250 0.250 0.250
As1 As 0.500 0.500 0.500
W1 W 0.750 0.750 0.750
As2 As 0.000 0.000 0.000
```

The value obtained for the total magnetization is 0.00 Bohr magnetons per cell. Its space group is R-3m (166). The calculation puts the energy relative to the elements at 0.160 eV/atom.

***

Compound: NiSbTeN2
Source: the Alexandria database
Functional: PBE-GGA
Structure: relaxed

```
data_NiSbTeN2
_cell_length_a 3.924
_cell_length_b 3.924
_cell_length_c 6.534
_cell_angle_alpha 90.00
_cell_angle_beta 90.00
_cell_angle_gamma 90.00
_space_group_name_H-M_alt 'P 1'
_space_group_IT_number 1
loop_
_space_group_symop_operation_xyz
'x,y,z'
loop_
_atom_site_label
_atom_site_type_symbol
_atom_site_fract_x
_atom_site_fract_y
_atom_site_fract_z
N1 N 0.500 0.000 0.000
Ni1 Ni 0.500 0.500 0.500
N2 N 0.000 0.500 0.000
Sb1 Sb 0.000 0.000 0.000
Te1 Te 0.000 0.000 0.500
```

The value obtained for the total magnetization is 1.71 Bohr magnetons per cell. Its space group is P4/mmm (123). The formation energy from raw total energies is 137.1 kJ per mole of atoms.

***

Compound: DyCdSb2
Source: the Alexandria database
Functional: PBE-GGA
Structure: relaxed

```
data_DyCdSb2
_cell_length_a 4.443
_cell_length_b 4.443
_cell_length_c 7.314
_cell_angle_alpha 72.32
_cell_angle_beta 72.32
_cell_angle_gamma 60.00
_space_group_name_H-M_alt 'P 1'
_space_group_IT_number 1
loop_
_space_group_symop_operation_xyz
'x,y,z'
loop_
_atom_site_label
_atom_site_type_symbol
_atom_site_fract_x
_atom_site_fract_y
_atom_site_fract_z
Sb1 Sb 0.748 0.748 0.755
Sb2 Sb 0.252 0.252 0.245
Cd1 Cd 0.000 0.000 0.000
Dy1 Dy 0.500 0.500 0.500
```

The value obtained for the total magnetization is 0.00 Bohr magnetons per cell. Its space group is R-3m (166). The formation energy from raw total energies is -33.9 kJ per mole of atoms.

***

Compound: AgTe2Cl
Source: the Alexandria database
Functional: PBE-GGA
Structure: relaxed

```
data_AgTe2Cl
_cell_length_a 5.204
_cell_length_b 5.204
_cell_length_c 5.204
_cell_angle_alpha 60.00
_cell_angle_beta 60.00
_cell_angle_gamma 60.00
_space_group_name_H-M_alt 'P 1'
_space_group_IT_number 1
loop_
_space_group_symop_operation_xyz
'x,y,z'
loop_
_atom_site_label
_atom_site_type_symbol
_atom_site_fract_x
_atom_site_fract_y
_atom_site_fract_z
Ag1 Ag 0.500 0.500 0.500
Te1 Te 0.000 0.000 0.000
Te2 Te 0.750 0.750 0.750
Cl1 Cl 0.250 0.250 0.250
```

The value obtained for the total magnetization is 0.00 Bohr magnetons per cell. Its space group is F-43m (216). The formation energy from raw total energies is 17.2 kJ per mole of atoms.

***

Compound: KErAgF6
Source: the Alexandria database
Functional: PBE-GGA
Structure: relaxed

```
data_KErAgF6
_cell_length_a 5.926
_cell_length_b 6.181
_cell_length_c 5.465
_cell_angle_alpha 91.60
_cell_angle_beta 90.83
_cell_angle_gamma 58.57
_space_group_name_H-M_alt 'P 1'
_space_group_IT_number 1
loop_
_space_group_symop_operation_xyz
'x,y,z'
loop_
_atom_site_label
_atom_site_type_symbol
_atom_site_fract_x
_atom_site_fract_y
_atom_site_fract_z
Ag1 Ag 0.330 0.335 0.500
F1 F 0.381 0.655 0.261
F2 F 0.633 0.374 0.691
Er1 Er 0.651 0.674 0.500
F3 F 0.000 0.634 0.704
F4 F 0.633 0.993 0.309
F5 F 0.000 0.366 0.296
K1 K 0.989 0.006 0.000
F6 F 0.382 0.964 0.739
```

The value obtained for the total magnetization is 1.09 Bohr magnetons per cell. Its space group is C2 (5). The formation energy from raw total energies is -271.7 kJ per mole of atoms.

***

What did the seventh record say?
Compound: BiOsRhO6
Source: the Alexandria database
Functional: PBE-GGA
Structure: relaxed

```
data_BiOsRhO6
_cell_length_a 7.027
_cell_length_b 7.046
_cell_length_c 7.349
_cell_angle_alpha 118.65
_cell_angle_beta 118.56
_cell_angle_gamma 90.00
_space_group_name_H-M_alt 'P 1'
_space_group_IT_number 1
loop_
_space_group_symop_operation_xyz
'x,y,z'
loop_
_atom_site_label
_atom_site_type_symbol
_atom_site_fract_x
_atom_site_fract_y
_atom_site_fract_z
Bi1 Bi 0.991 0.741 0.983
O1 O 0.179 0.328 0.787
O2 O 0.435 0.685 0.869
Rh1 Rh 0.500 0.000 0.500
O3 O 0.565 0.315 0.131
O4 O 0.814 0.064 0.628
O5 O 0.821 0.672 0.213
O6 O 0.607 0.958 0.787
O7 O 0.393 0.042 0.213
Rh2 Rh 0.000 0.000 0.500
O8 O 0.821 0.042 0.213
Bi2 Bi 0.009 0.259 0.017
O9 O 0.186 0.936 0.372
O10 O 0.393 0.672 0.213
O11 O 0.179 0.958 0.787
Os1 Os 0.500 0.500 0.000
Os2 Os 0.500 0.000 0.000
O12 O 0.607 0.328 0.787
```

The value obtained for the total magnetization is 0.67 Bohr magnetons per cell. Its space group is Imma (74). The formation energy from raw total energies is -75.8 kJ per mole of atoms.

***

- Number 8 is which compound?
  CuAs2W